# 1
# Er2SnBi

Er2SnBi after structural relaxation (PBE-GGA, Alexandria).

```
4
Lattice="-1.4530 -3.5327 1.8030 2.6653 -2.6109 1.9803 -0.7724 1.9019 8.0521" Properties=species:S:1:pos:R:3 pbc="T T T"
Er -0.4857 0.9394 6.3972
Er 0.1167 -1.0830 2.9200
Sn 0.2154 -2.1057 5.9437
Bi 0.0410 -2.2113 10.5441
```

Results
The value obtained for the formation energy is -2.20 eV per formula unit. The energy above the most stable polymorph in this dataset is 17.68 kJ/mol of atoms. The electronic total energy comes out at -19.21 eV per formula unit.

# 2
# ErSnBi2

ErSnBi2 after structural relaxation (PBE-GGA, Alexandria).

```
4
Lattice="4.7023 0.0000 0.0000 2.3511 4.0723 0.0000 2.3511 1.3574 8.8592" Properties=species:S:1:pos:R:3 pbc="T T T"
Bi 2.3511 1.3574 5.9631
Bi 7.0534 4.0723 2.8961
Sn 0.0000 0.0000 0.0000
Er 4.7023 2.7149 4.4296
```

Results
The value obtained for the formation energy is 0.68 eV per formula unit. The energy above the most stable polymorph in this dataset is 46.70 kJ/mol of atoms. The electronic total energy comes out at -15.65 eV per formula unit.

# 3
# Er4SnBiTe2

Er4SnBiTe2 after structural relaxation (PBE-GGA, Alexandria).

```
8
Lattice="-0.5726 4.1002 1.4329 -5.1651 1.1657 -5.3995 -6.8780 -1.8784 2.6268" Properties=species:S:1:pos:R:3 pbc="T T T"
Er -8.9554 -0.5362 -2.0439
Er -3.6602 3.9238 0.7040
Er -5.8895 2.4205 -2.5824
Er -6.7261 0.9670 1.2425
Sn -6.0215 -0.3564 -1.3863
Bi -2.8688 2.6330 -1.9833
Te -6.8780 -1.8784 2.6267
Te -3.7253 1.1109 2.0298
```

Results
The electronic total energy comes out at -40.71 eV per formula unit. The uncorrected formation energy is -1.036 eV/atom.

Going through the records in order, we get calculated volume values of 30.7, 42.4, 29.7 Å³/atom.